An optimized crystal structure of AsRhBr. Source: Alexandria, functional PBE.

V = 142.8 Å³ per cell
D(E_F) = 4.21 states/eV/cell
Offset from the most stable computed form = 0 meV per atom
Final energy = -4.821 eV per atom
ΔE_f (raw) = -0.26 eV/atom

```
data_AsRhBr
_symmetry_space_group_name_H-M 'P 1 21/m 1'
_symmetry_Int_Tables_number 11
_symmetry_space_group_name_Hall '-P 2yb'
_cell_length_a 5.163
_cell_length_b 3.501
_cell_length_c 7.916
_cell_angle_alpha 90.00
_cell_angle_beta 93.52
_cell_angle_gamma 90.00
loop_
_atom_site_label
_atom_site_type_symbol
_atom_site_fract_x
_atom_site_fract_y
_atom_site_fract_z
_atom_site_occupancy
As1 As 0.191 0.250 0.104 1
Rh1 Rh 0.331 0.750 0.905 1
Br1 Br 0.268 0.250 0.661 1
```


An optimized crystal structure of Mg2InAu. Source: Alexandria, functional PBE.

V = 163.5 Å³ per cell
D(E_F) = 2.32 states/eV/cell
Formation energy = -0.267 eV per atom
Final energy = -2.568 eV per atom

```
data_Mg2InAu
_symmetry_space_group_name_H-M 'I -4 m 2'
_symmetry_Int_Tables_number 119
_symmetry_space_group_name_Hall 'I -4 -2'
_cell_length_a 4.293
_cell_length_b 4.293
_cell_length_c 8.870
_cell_angle_alpha 90.00
_cell_angle_beta 90.00
_cell_angle_gamma 90.00
loop_
_atom_site_label
_atom_site_type_symbol
_atom_site_fract_x
_atom_site_fract_y
_atom_site_fract_z
_atom_site_occupancy
Mg1 Mg 0.000 0.000 0.000 1
Mg2 Mg 0.000 0.500 0.250 1
In1 In 0.000 0.000 0.500 1
Au1 Au 0.000 0.500 0.750 1
```


An optimized crystal structure of Ac8Rh3SeBr3. Source: Alexandria, functional PBE.

V = 1613.9 Å³ per cell
D(E_F) = 21.87 states/eV/cell
Final energy = -5.312 eV per atom
ΔE_f (raw) = -1.08 eV/atom

```
data_Ac8Rh3SeBr3
_symmetry_space_group_name_H-M 'R -3 m'
_symmetry_Int_Tables_number 166
_symmetry_space_group_name_Hall '-R 3 2"'
_cell_length_a 8.9503
_cell_length_b 8.9503
_cell_length_c 23.2662
_cell_angle_alpha 90.00
_cell_angle_beta 90.00
_cell_angle_gamma 120.00
loop_
_atom_site_label
_atom_site_type_symbol
_atom_site_fract_x
_atom_site_fract_y
_atom_site_fract_z
_atom_site_occupancy
Ac1 Ac 0.0000 0.0000 0.2336 1
Ac2 Ac 0.0246 0.5123 0.7627 1
Rh1 Rh 0.0000 0.5000 0.5000 1
Se1 Se 0.0000 0.0000 0.5000 1
Br1 Br 0.0000 0.5000 0.0000 1
```


An optimized crystal structure of Sr2TaBOs. Source: Alexandria, functional PBE.

V = 122.3 Å³ per cell
D(E_F) = 5.59 states/eV/cell
Formation energy = 1.024 eV per atom
Final energy = -5.601 eV per atom

```
data_Sr2TaBOs
_symmetry_space_group_name_H-M 'P 4/m m m'
_symmetry_Int_Tables_number 123
_symmetry_space_group_name_Hall '-P 4 2'
_cell_length_a 5.482
_cell_length_b 5.482
_cell_length_c 4.069
_cell_angle_alpha 90.00
_cell_angle_beta 90.00
_cell_angle_gamma 90.00
loop_
_atom_site_label
_atom_site_type_symbol
_atom_site_fract_x
_atom_site_fract_y
_atom_site_fract_z
_atom_site_occupancy
Sr1 Sr 0.000 0.500 0.000 1
Ta1 Ta 0.000 0.000 0.500 1
B1 B 0.500 0.500 0.000 1
Os1 Os 0.500 0.500 0.500 1
```